VASP calculation (GGA-PBE) on crystalline Nd4Dy3HoS8 at its relaxed geometry.

Geometry as extended XYZ:
```
16
Lattice="3.9526 2.2820 6.6233 -3.9526 2.2820 6.6233 0.0000 -4.5641 6.6233" Properties=species:S:1:pos:R:3 pbc="T T T"
Nd 0.0000 0.0000 0.0000
Nd -1.9763 -1.1410 6.6233
Nd -1.9763 1.1410 13.2466
Nd 0.0000 2.2820 6.6233
Dy -3.9526 0.0000 9.9349
Dy -1.9763 1.1410 3.3116
Dy 1.9763 1.1410 3.3117
Ho 0.0000 0.0000 9.9350
S 0.0000 0.0000 4.8571
S -1.9701 -1.1375 11.4758
S 0.0000 -2.2749 8.3941
S -1.9701 1.1375 8.3941
S 1.9701 -1.1375 11.4758
S 0.0000 2.2749 11.4758
S 1.9701 1.1375 8.3941
S 0.0000 0.0000 15.0128
```

Properties
- E_form (uncorrected) (eV/atom) = -2.01
- DFT total energy (eV per cell) = -102.63


VASP calculation (GGA-PBE) on crystalline NdDy2HoS6 at its relaxed geometry.

Geometry as extended XYZ:
```
10
Lattice="3.4882 2.0139 6.1915 -3.4882 2.0139 6.1915 0.0000 -4.0278 6.1915" Properties=species:S:1:pos:R:3 pbc="T T T"
Nd 0.0000 0.0000 0.0000
Dy 0.0000 0.0000 5.4302
Dy 0.0000 0.0000 14.7817
Ho 0.0000 0.0000 9.1820
S -2.0501 -0.1054 7.3135
S -1.3656 -2.0195 10.3931
S 1.1163 -1.7227 7.3135
S -1.0662 2.1924 10.3931
S 0.9338 1.8281 7.3135
S 2.4318 -0.1729 10.3931
```

Properties
- E_form (uncorrected) (eV/atom) = -2.05
- DFT total energy (eV per cell) = -63.79


VASP calculation (GGA-PBE) on crystalline Nd3DyHo3S8 at its relaxed geometry.

Geometry as extended XYZ:
```
15
Lattice="3.9441 2.2771 6.5522 -3.9441 2.2771 6.5522 0.0000 -4.5543 6.5522" Properties=species:S:1:pos:R:3 pbc="T T T"
Nd -1.9721 -1.1386 6.5522
Nd -1.9721 1.1386 13.1045
Nd 0.0000 2.2771 6.5522
Dy 0.0000 0.0000 9.8284
Ho -3.9441 0.0000 9.8284
Ho -1.9721 1.1386 3.2761
Ho 1.9721 1.1386 3.2761
S -1.9937 -1.1511 11.3761
S 0.0000 0.0000 4.8054
S 0.0000 -2.3021 8.2806
S -1.9937 1.1511 8.2806
S 1.9937 -1.1511 11.3761
S 0.0000 2.3021 11.3761
S 0.0000 0.0000 14.8514
S 1.9937 1.1511 8.2806
```

Properties
- E_form (uncorrected) (eV/atom) = -2.05
- DFT total energy (eV per cell) = -96.39


VASP calculation (GGA-PBE) on crystalline NdDy4HoS8 at its relaxed geometry.

Geometry as extended XYZ:
```
14
Lattice="4.0465 2.3362 6.5984 -4.0465 2.3362 6.5984 0.0000 -4.6724 6.5984" Properties=species:S:1:pos:R:3 pbc="T T T"
Nd 0.0000 0.0000 0.0000
Dy -2.0121 -1.1617 9.0736
Dy 0.0000 0.0000 4.9406
Dy 2.0121 -1.1617 9.0736
Dy 0.0000 2.3234 9.0736
Ho 0.0000 0.0000 12.3574
S 0.0000 0.0000 7.5560
S 0.0000 -2.1961 10.6815
S -1.9019 1.0980 10.6815
S -1.8390 -1.0617 14.0839
S 1.9019 1.0980 10.6815
S 1.8390 -1.0617 14.0839
S 0.0000 2.1235 14.0839
S 0.0000 0.0000 17.1009
```

Properties
- E_form (uncorrected) (eV/atom) = -1.93
- DFT total energy (eV per cell) = -87.76


VASP calculation (GGA-PBE) on crystalline NdDyHo2S6 at its relaxed geometry.

Geometry as extended XYZ:
```
10
Lattice="3.4839 2.0114 6.1801 -3.4839 2.0114 6.1801 0.0000 -4.0228 6.1801" Properties=species:S:1:pos:R:3 pbc="T T T"
Nd 0.0000 0.0000 0.0000
Dy 0.0000 0.0000 9.1713
Ho 0.0000 0.0000 5.4259
Ho 0.0000 0.0000 14.7542
S -2.0511 -0.1229 7.2852
S -1.3686 -2.0435 10.3625
S 1.1320 -1.7149 7.2852
S -1.0854 2.2070 10.3626
S 0.9191 1.8377 7.2852
S 2.4540 -0.1635 10.3625
```

Properties
- E_form (uncorrected) (eV/atom) = -2.05
- DFT total energy (eV per cell) = -63.77


VASP calculation (GGA-PBE) on crystalline NdDyHo4S8 at its relaxed geometry.

Geometry as extended XYZ:
```
14
Lattice="4.0325 2.3282 6.5962 -4.0325 2.3282 6.5962 0.0000 -4.6564 6.5962" Properties=species:S:1:pos:R:3 pbc="T T T"
Nd 0.0000 0.0000 0.0000
Dy 0.0000 0.0000 7.4254
Ho 0.0000 -2.3143 10.7061
Ho -2.0042 1.1571 10.7061
Ho 0.0000 0.0000 14.8315
Ho 2.0042 1.1571 10.7061
S 0.0000 -2.1228 5.6793
S -1.8384 1.0614 5.6793
S 0.0000 0.0000 2.6984
S -1.9083 -1.1018 9.1160
S 1.8384 1.0614 5.6793
S 1.9083 -1.1018 9.1160
S 0.0000 2.2036 9.1160
S 0.0000 0.0000 12.2196
```

Properties
- E_form (uncorrected) (eV/atom) = -1.92
- DFT total energy (eV per cell) = -87.65


VASP calculation (GGA-PBE) on crystalline Nd2DyHoS4 at its relaxed geometry.

Geometry as extended XYZ:
```
8
Lattice="6.8438 0.0000 0.0000 0.0000 3.9247 0.0000 -2.2587 0.0000 6.6553" Properties=species:S:1:pos:R:3 pbc="T T T"
Nd 0.0000 0.0000 0.0000
Nd 3.4219 1.9624 0.0000
Dy -1.1293 1.9624 3.3277
Ho 2.2925 0.0000 3.3277
S 0.0217 0.0000 4.8796
S 1.1550 1.9624 1.7803
S 3.4301 1.9624 4.8750
S 4.5634 0.0000 1.7757
```

Properties
- E_form (uncorrected) (eV/atom) = -2.01
- DFT total energy (eV per cell) = -51.30


VASP calculation (GGA-PBE) on crystalline Nd2DyHo3Sb6 at its relaxed geometry.

Geometry as extended XYZ:
```
12
Lattice="9.6370 -2.2128 0.0000 9.6370 2.2128 0.0000 -2.0192 0.0000 8.6096" Properties=species:S:1:pos:R:3 pbc="T T T"
Nd 2.5259 0.0000 2.8614
Nd 14.7289 0.0000 5.7482
Dy 9.6370 0.0000 0.0000
Ho 1.5504 0.0000 7.1784
Ho 8.6274 0.0000 4.3048
Ho 15.7044 0.0000 1.4313
Sb -1.4586 0.0000 6.4650
Sb 4.5650 0.0000 7.9557
Sb 5.6352 0.0000 3.5398
Sb 11.6196 0.0000 5.0698
Sb 12.6898 0.0000 0.6540
Sb 18.7134 0.0000 2.1446
```

Properties
- E_form (uncorrected) (eV/atom) = -1.14
- DFT total energy (eV per cell) = -66.25


VASP calculation (GGA-PBE) on crystalline Nd2DyHoSb4 at its relaxed geometry.

Geometry as extended XYZ:
```
8
Lattice="7.7035 0.0000 0.0000 0.0000 4.4551 0.0000 -2.5739 0.0000 7.2700" Properties=species:S:1:pos:R:3 pbc="T T T"
Nd 0.0000 0.0000 0.0000
Nd -1.2869 2.2276 3.6350
Dy 2.5648 0.0000 3.6350
Ho 3.8517 2.2276 0.0000
Sb 1.3483 2.2276 1.8365
Sb 0.0607 0.0000 5.4796
Sb 5.0689 0.0000 1.7904
Sb 3.7813 2.2276 5.4335
```

Properties
- E_form (uncorrected) (eV/atom) = -1.15
- DFT total energy (eV per cell) = -44.43


VASP calculation (GGA-PBE) on crystalline Nd2DyHoSc at its relaxed geometry.

Geometry as extended XYZ:
```
10
Lattice="6.2258 0.0000 0.0000 0.0000 7.8534 0.0000 0.0000 0.0000 6.5334" Properties=species:S:1:pos:R:3 pbc="T T T"
Nd 1.5565 1.5927 1.4030
Nd 1.5565 6.2606 1.4030
Nd 4.6694 1.5927 5.1304
Nd 4.6694 6.2606 5.1304
Dy 1.5565 3.9267 3.8522
Dy 4.6694 3.9267 2.6812
Ho 1.5565 0.0000 4.4919
Ho 4.6694 0.0000 2.0415
Sc 0.0000 3.9267 0.0000
Sc 3.1129 3.9267 0.0000
```

Properties
- DFT total energy (eV per cell) = -47.98
- energy relative to the elements (meV per atom) = 211


VASP calculation (GGA-PBE) on crystalline Nd4Dy2HoSc at its relaxed geometry.

Geometry as extended XYZ:
```
8
Lattice="5.0944 0.0000 0.0000 0.0000 5.1079 0.0000 0.0000 0.0000 9.9129" Properties=species:S:1:pos:R:3 pbc="T T T"
Nd 0.0000 0.0000 2.4285
Nd 0.0000 0.0000 7.4843
Nd 2.5472 2.5539 2.4316
Nd 2.5472 2.5539 7.4812
Dy 0.0000 2.5539 0.0000
Dy 2.5472 0.0000 4.9564
Ho 0.0000 2.5539 4.9564
Sc 2.5472 0.0000 0.0000
```

Properties
- DFT total energy (eV per cell) = -38.96
- energy relative to the elements (meV per atom) = 28


VASP calculation (GGA-PBE) on crystalline NdDy2Ho4Sc at its relaxed geometry.

Geometry as extended XYZ:
```
8
Lattice="6.0757 0.0000 0.0000 0.0000 3.5278 0.0000 -2.0413 0.0000 11.4792" Properties=species:S:1:pos:R:3 pbc="T T T"
Nd 0.0000 0.0000 0.0000
Dy 2.0172 0.0000 5.7396
Dy 3.0379 1.7639 0.0000
Ho -0.0204 0.0000 8.5280
Ho 1.0020 1.7639 2.9241
Ho 3.0324 1.7639 8.5551
Ho 4.0548 0.0000 2.9512
Sc -1.0206 1.7639 5.7396
```

Properties
- DFT total energy (eV per cell) = -38.33
- energy relative to the elements (meV per atom) = 35


- Look up the DFT total energy of the sixth one.
  -87.65 eV per cell